A plane-wave DFT calculation with PBE-GGA was carried out for an optimized crystal structure of GaGeS.

Values from the calculation:
Space-group type: C2/m (12)
Magnetization: 0.00 μB per formula unit
Energy relative to the elements, uncorrected: -4.4 kJ per mole of atoms
Energy: -23.8 eV for the cell shown

Structure (CIF):
```
data_GaGeS
_chemical_formula_sum 'Ga2 Ge2 S2'
_symmetry_space_group_name_H-M 'P 1'
_symmetry_Int_Tables_number 1
_cell_length_a 4.146
_cell_length_b 3.475
_cell_length_c 12.615
_cell_angle_alpha 97.92
_cell_angle_beta 47.82
_cell_angle_gamma 90.00
loop_
_symmetry_equiv_pos_as_xyz
'x,y,z'
loop_
_atom_site_label
_atom_site_type_symbol
_atom_site_fract_x
_atom_site_fract_y
_atom_site_fract_z
Ga1 Ga 0.926 0.711 0.423
Ga2 Ga 0.074 0.289 0.577
S1 S 0.185 0.390 0.780
S2 S 0.815 0.610 0.220
Ge1 Ge 0.627 0.070 0.139
Ge2 Ge 0.373 0.930 0.861
```



A plane-wave DFT calculation with PBE-GGA was carried out for an optimized crystal structure of KHOs2.

Values from the calculation:
Space-group type: Fm-3m (225)
Magnetization: 3.02 μB per formula unit
Energy: -15.5 eV for the cell shown

Structure (CIF):
```
data_KHOs2
_chemical_formula_sum 'K1 H1 Os2'
_symmetry_space_group_name_H-M 'P 1'
_symmetry_Int_Tables_number 1
_cell_length_a 4.455
_cell_length_b 4.455
_cell_length_c 4.455
_cell_angle_alpha 60.00
_cell_angle_beta 60.00
_cell_angle_gamma 60.00
loop_
_symmetry_equiv_pos_as_xyz
'x,y,z'
loop_
_atom_site_label
_atom_site_type_symbol
_atom_site_fract_x
_atom_site_fract_y
_atom_site_fract_z
H1 H 0.000 0.000 0.000
K1 K 0.500 0.500 0.500
Os1 Os 0.250 0.250 0.250
Os2 Os 0.750 0.750 0.750
```



A plane-wave DFT calculation with PBE-GGA was carried out for an optimized crystal structure of CsTl8Bi4.

Values from the calculation:
Space-group type: I4/mmm (139)
Magnetization: 0.00 μB per formula unit
ΔE_f: -0.052 eV/atom
Energy: -36.0 eV for the cell shown

Structure (CIF):
```
data_CsTl8Bi4
_chemical_formula_sum 'Cs1 Tl8 Bi4'
_symmetry_space_group_name_H-M 'P 1'
_symmetry_Int_Tables_number 1
_cell_length_a 6.530
_cell_length_b 9.012
_cell_length_c 9.012
_cell_angle_alpha 82.46
_cell_angle_beta 68.76
_cell_angle_gamma 68.76
loop_
_symmetry_equiv_pos_as_xyz
'x,y,z'
loop_
_atom_site_label
_atom_site_type_symbol
_atom_site_fract_x
_atom_site_fract_y
_atom_site_fract_z
Tl1 Tl 0.500 0.207 0.793
Tl2 Tl 0.707 0.793 0.793
Tl3 Tl 0.293 0.207 0.207
Tl4 Tl 0.000 0.641 0.359
Tl5 Tl 0.000 0.359 0.641
Tl6 Tl 0.359 0.641 0.641
Tl7 Tl 0.500 0.793 0.207
Tl8 Tl 0.641 0.359 0.359
Bi1 Bi 0.000 0.500 0.000
Bi2 Bi 0.500 0.500 0.000
Bi3 Bi 0.000 0.000 0.500
Bi4 Bi 0.500 0.000 0.500
Cs1 Cs 0.000 0.000 0.000
```



A plane-wave DFT calculation with PBE-GGA was carried out for an optimized crystal structure of Sm4Ge3Cl.

Values from the calculation:
Space-group type: Cmmm (65)
Magnetization: 0.00 μB per formula unit
Energy relative to the elements, uncorrected: -99.6 kJ per mole of atoms
Energy: -42.8 eV for the cell shown

Structure (CIF):
```
data_Sm4Ge3Cl
_chemical_formula_sum 'Sm4 Ge3 Cl1'
_symmetry_space_group_name_H-M 'P 1'
_symmetry_Int_Tables_number 1
_cell_length_a 4.257
_cell_length_b 7.272
_cell_length_c 7.272
_cell_angle_alpha 70.49
_cell_angle_beta 90.00
_cell_angle_gamma 90.00
loop_
_symmetry_equiv_pos_as_xyz
'x,y,z'
loop_
_atom_site_label
_atom_site_type_symbol
_atom_site_fract_x
_atom_site_fract_y
_atom_site_fract_z
Ge1 Ge 0.000 0.000 0.000
Ge2 Ge 0.500 0.000 0.500
Ge3 Ge 0.000 0.500 0.500
Sm1 Sm 0.000 0.763 0.737
Sm2 Sm 0.500 0.249 0.749
Sm3 Sm 0.500 0.751 0.251
Sm4 Sm 0.000 0.237 0.263
Cl1 Cl 0.500 0.500 0.000
```



A plane-wave DFT calculation with PBE-GGA was carried out for an optimized crystal structure of Li4Ac3Au2.

Values from the calculation:
Space-group type: C2/m (12)
Magnetization: 0.00 μB per formula unit
ΔE_f: -0.313 eV/atom
Energy: -29.4 eV for the cell shown

Structure (CIF):
```
data_Li4Ac3Au2
_chemical_formula_sum 'Li4 Ac3 Au2'
_symmetry_space_group_name_H-M 'P 1'
_symmetry_Int_Tables_number 1
_cell_length_a 4.807
_cell_length_b 6.322
_cell_length_c 9.305
_cell_angle_alpha 110.28
_cell_angle_beta 90.00
_cell_angle_gamma 112.34
loop_
_symmetry_equiv_pos_as_xyz
'x,y,z'
loop_
_atom_site_label
_atom_site_type_symbol
_atom_site_fract_x
_atom_site_fract_y
_atom_site_fract_z
Li1 Li 0.970 0.939 0.637
Li2 Li 0.285 0.570 0.942
Li3 Li 0.715 0.430 0.058
Li4 Li 0.030 0.061 0.363
Au1 Au 0.594 0.188 0.270
Au2 Au 0.406 0.812 0.730
Ac1 Ac 0.680 0.360 0.647
Ac2 Ac 0.000 0.000 0.000
Ac3 Ac 0.320 0.640 0.353
```



A plane-wave DFT calculation with PBE-GGA was carried out for an optimized crystal structure of Ho2MgSi2Ru5.

Values from the calculation:
Space-group type: P4/mbm (127)
Magnetization: 0.00 μB per formula unit
Energy relative to the elements, uncorrected: -51.4 kJ per mole of atoms
Energy: -146.6 eV for the cell shown

Structure (CIF):
```
data_Ho2MgSi2Ru5
_chemical_formula_sum 'Ho4 Mg2 Si4 Ru10'
_symmetry_space_group_name_H-M 'P 1'
_symmetry_Int_Tables_number 1
_cell_length_a 3.302
_cell_length_b 9.961
_cell_length_c 9.961
_cell_angle_alpha 90.00
_cell_angle_beta 90.00
_cell_angle_gamma 90.00
loop_
_symmetry_equiv_pos_as_xyz
'x,y,z'
loop_
_atom_site_label
_atom_site_type_symbol
_atom_site_fract_x
_atom_site_fract_y
_atom_site_fract_z
Ru1 Ru 0.500 0.711 0.430
Ru2 Ru 0.500 0.570 0.711
Ru3 Ru 0.500 0.930 0.211
Ru4 Ru 0.500 0.000 0.500
Ru5 Ru 0.500 0.500 0.000
Ru6 Ru 0.500 0.070 0.789
Ru7 Ru 0.500 0.211 0.070
Ru8 Ru 0.500 0.789 0.930
Ru9 Ru 0.500 0.289 0.570
Ru10 Ru 0.500 0.430 0.289
Si1 Si 0.000 0.628 0.872
Si2 Si 0.000 0.872 0.372
Si3 Si 0.000 0.128 0.628
Si4 Si 0.000 0.372 0.128
Ho1 Ho 0.000 0.672 0.172
Ho2 Ho 0.000 0.172 0.328
Ho3 Ho 0.000 0.328 0.828
Ho4 Ho 0.000 0.828 0.672
Mg1 Mg 0.000 0.000 0.000
Mg2 Mg 0.000 0.500 0.500
```



A plane-wave DFT calculation with PBE-GGA was carried out for an optimized crystal structure of ZrAl2Hg2.

Values from the calculation:
Space-group type: P4/mbm (127)
Magnetization: 0.00 μB per formula unit
ΔE_f: 0.013 eV/atom
Energy: -33.1 eV for the cell shown

Structure (CIF):
```
data_ZrAl2Hg2
_chemical_formula_sum 'Zr2 Al4 Hg4'
_symmetry_space_group_name_H-M 'P 1'
_symmetry_Int_Tables_number 1
_cell_length_a 7.702
_cell_length_b 7.702
_cell_length_c 3.350
_cell_angle_alpha 90.00
_cell_angle_beta 90.00
_cell_angle_gamma 90.00
loop_
_symmetry_equiv_pos_as_xyz
'x,y,z'
loop_
_atom_site_label
_atom_site_type_symbol
_atom_site_fract_x
_atom_site_fract_y
_atom_site_fract_z
Hg1 Hg 0.830 0.330 0.500
Hg2 Hg 0.170 0.670 0.500
Hg3 Hg 0.670 0.830 0.500
Hg4 Hg 0.330 0.170 0.500
Al1 Al 0.369 0.869 0.000
Al2 Al 0.131 0.369 0.000
Al3 Al 0.631 0.131 0.000
Al4 Al 0.869 0.631 0.000
Zr1 Zr 0.500 0.500 0.000
Zr2 Zr 0.000 0.000 0.000
```



A plane-wave DFT calculation with PBE-GGA was carried out for an optimized crystal structure of Th2PaC4.

Values from the calculation:
Space-group type: P2/m (10)
Magnetization: 0.00 μB per formula unit
ΔE_f: -0.067 eV/atom
Energy: -61.7 eV for the cell shown

Structure (CIF):
```
data_Th2PaC4
_chemical_formula_sum 'Th2 Pa1 C4'
_symmetry_space_group_name_H-M 'P 1'
_symmetry_Int_Tables_number 1
_cell_length_a 3.888
_cell_length_b 6.102
_cell_length_c 6.157
_cell_angle_alpha 117.61
_cell_angle_beta 90.00
_cell_angle_gamma 90.00
loop_
_symmetry_equiv_pos_as_xyz
'x,y,z'
loop_
_atom_site_label
_atom_site_type_symbol
_atom_site_fract_x
_atom_site_fract_y
_atom_site_fract_z
Th1 Th 0.500 0.401 0.777
Th2 Th 0.500 0.742 0.366
C1 C 0.500 0.991 0.796
C2 C 0.000 0.462 0.083
C3 C 0.500 0.152 0.347
C4 C 0.000 0.680 0.060
Pa1 Pa 0.000 0.071 0.071
```